1.
Entry from Alexandria: Tm5PtPb2 after structural relaxation (PBE-GGA).

Unit cell a=7.938 b=12.222 c=4.511 alpha=90.00 beta=90.00 gamma=90.00
Sites, in units of the cell vectors:
Tm: 0.000 0.000 0.000
Tm: 0.150 0.295 0.000
Tm: 0.182 0.568 0.500
Tm: 0.318 0.068 0.500
Tm: 0.350 0.795 0.000
Tm: 0.500 0.500 0.000
Tm: 0.650 0.205 0.000
Tm: 0.682 0.932 0.500
Tm: 0.818 0.432 0.500
Tm: 0.850 0.705 0.000
Pt: 0.000 0.500 0.000
Pt: 0.500 0.000 0.000
Pb: 0.067 0.828 0.500
Pb: 0.433 0.328 0.500
Pb: 0.567 0.672 0.500
Pb: 0.933 0.172 0.500

Values from the calculation:
Calculated volume: 27.4 Å³/atom
ΔH_f (0 K): -15.36 kcal/mol of atoms
Space group: Pbam
DOS(E_F): 13.03 states/eV/cell

2.
Entry from Alexandria: Tm4Pt2Pb after structural relaxation (PBE-GGA).

Unit cell a=6.110 b=6.110 c=6.110 alpha=109.42 beta=109.42 gamma=109.58
Sites, in units of the cell vectors:
Tm: 0.000 0.000 0.500
Tm: 0.000 0.500 0.000
Tm: 0.500 0.000 0.000
Tm: 0.500 0.500 0.500
Pt: 0.000 0.500 0.500
Pt: 0.500 0.000 0.500
Pb: 0.000 0.000 0.000

Values from the calculation:
Calculated volume: 25.1 Å³/atom
ΔH_f (0 K): -17.16 kcal/mol of atoms
Space group: I4/mmm
DOS(E_F): 4.17 states/eV/cell

3.
Entry from Alexandria: Tm2Pt9Pb after structural relaxation (PBE-GGA).

Unit cell a=4.096 b=4.096 c=12.363 alpha=90.00 beta=90.00 gamma=90.00
Sites, in units of the cell vectors:
Tm: 0.000 0.000 0.164
Tm: 0.000 0.000 0.836
Pt: 0.000 0.500 0.000
Pt: 0.000 0.500 0.329
Pt: 0.000 0.500 0.671
Pt: 0.500 0.000 0.000
Pt: 0.500 0.000 0.329
Pt: 0.500 0.000 0.671
Pt: 0.500 0.500 0.166
Pt: 0.500 0.500 0.500
Pt: 0.500 0.500 0.834
Pb: 0.000 0.000 0.500

Values from the calculation:
Calculated volume: 17.3 Å³/atom
ΔH_f (0 K): -17.61 kcal/mol of atoms
Space group: P4/mmm
DOS(E_F): 11.66 states/eV/cell

4.
Entry from Alexandria: Tm3PtPb after structural relaxation (PBE-GGA).

Unit cell a=4.567 b=6.769 c=8.787 alpha=90.00 beta=90.00 gamma=90.00
Sites, in units of the cell vectors:
Tm: 0.250 0.000 0.160
Tm: 0.250 0.250 0.580
Tm: 0.250 0.500 0.160
Tm: 0.750 0.000 0.840
Tm: 0.750 0.500 0.840
Tm: 0.750 0.750 0.420
Pt: 0.250 0.250 0.901
Pt: 0.750 0.750 0.099
Pb: 0.250 0.750 0.647
Pb: 0.750 0.250 0.353

Values from the calculation:
Calculated volume: 27.2 Å³/atom
ΔH_f (0 K): -17.32 kcal/mol of atoms
Space group: Pmmn
DOS(E_F): 7.24 states/eV/cell

5.
Entry from Alexandria: Tm6PtPb3 after structural relaxation (PBE-GGA).

Unit cell a=11.606 b=3.691 c=13.902 alpha=90.00 beta=108.25 gamma=90.00
Sites, in units of the cell vectors:
Tm: 0.006 0.250 0.165
Tm: 0.099 0.750 0.396
Tm: 0.259 0.250 0.837
Tm: 0.331 0.250 0.258
Tm: 0.384 0.250 0.643
Tm: 0.414 0.750 0.065
Tm: 0.586 0.250 0.935
Tm: 0.616 0.750 0.357
Tm: 0.669 0.750 0.742
Tm: 0.741 0.750 0.163
Tm: 0.901 0.250 0.604
Tm: 0.994 0.750 0.835
Pt: 0.433 0.750 0.807
Pt: 0.567 0.250 0.193
Pb: 0.136 0.750 0.635
Pb: 0.168 0.250 0.025
Pb: 0.381 0.750 0.454
Pb: 0.619 0.250 0.546
Pb: 0.832 0.750 0.975
Pb: 0.864 0.250 0.365

Values from the calculation:
Calculated volume: 28.3 Å³/atom
ΔH_f (0 K): -11.01 kcal/mol of atoms
Space group: P2_1/m
DOS(E_F): 16.15 states/eV/cell

6.
Entry from Alexandria: Tm3PtPb2 after structural relaxation (PBE-GGA).

Unit cell a=8.048 b=8.048 c=7.171 alpha=104.41 beta=104.41 gamma=45.45
Sites, in units of the cell vectors:
Tm: 0.143 0.857 0.750
Tm: 0.297 0.410 0.410
Tm: 0.410 0.297 0.910
Tm: 0.590 0.703 0.090
Tm: 0.703 0.590 0.590
Tm: 0.857 0.143 0.250
Pt: 0.392 0.608 0.250
Pt: 0.608 0.392 0.750
Pb: 0.105 0.230 0.054
Pb: 0.230 0.105 0.554
Pb: 0.770 0.895 0.446
Pb: 0.895 0.770 0.946

Values from the calculation:
Calculated volume: 26.6 Å³/atom
ΔH_f (0 K): -14.02 kcal/mol of atoms
Space group: C2/c
DOS(E_F): 5.65 states/eV/cell

7.
Entry from Alexandria: Tm4Pt2Pb after structural relaxation (PBE-GGA).

Unit cell a=10.555 b=10.555 c=10.555 alpha=25.09 beta=25.09 gamma=25.09
Sites, in units of the cell vectors:
Tm: 0.112 0.112 0.112
Tm: 0.300 0.300 0.300
Tm: 0.700 0.700 0.700
Tm: 0.888 0.888 0.888
Pt: 0.397 0.397 0.397
Pt: 0.603 0.603 0.603
Pb: 0.500 0.500 0.500

Values from the calculation:
Calculated volume: 26.6 Å³/atom
ΔH_f (0 K): -19.22 kcal/mol of atoms
Space group: R-3m
DOS(E_F): 4.46 states/eV/cell

8.
Entry from Alexandria: TmPt4Pb after structural relaxation (PBE-GGA).

Unit cell a=5.435 b=5.435 c=5.435 alpha=60.00 beta=60.00 gamma=60.00
Sites, in units of the cell vectors:
Tm: 0.000 0.000 0.000
Pt: 0.124 0.625 0.625
Pt: 0.625 0.124 0.625
Pt: 0.625 0.625 0.124
Pt: 0.625 0.625 0.625
Pb: 0.250 0.250 0.250

Values from the calculation:
Calculated volume: 18.9 Å³/atom
ΔH_f (0 K): -16.06 kcal/mol of atoms
Space group: F-43m
DOS(E_F): 3.40 states/eV/cell

9.
Entry from Alexandria: Tm5PtPb2 after structural relaxation (PBE-GGA).

Unit cell a=8.276 b=8.276 c=14.045 alpha=90.00 beta=90.00 gamma=140.96
Sites, in units of the cell vectors:
Tm: 0.053 0.947 0.619
Tm: 0.053 0.947 0.881
Tm: 0.282 0.718 0.592
Tm: 0.282 0.718 0.908
Tm: 0.283 0.717 0.250
Tm: 0.717 0.283 0.750
Tm: 0.718 0.282 0.092
Tm: 0.718 0.282 0.408
Tm: 0.947 0.053 0.119
Tm: 0.947 0.053 0.381
Pt: 0.180 0.820 0.750
Pt: 0.820 0.180 0.250
Pb: 0.139 0.861 0.078
Pb: 0.139 0.861 0.422
Pb: 0.861 0.139 0.578
Pb: 0.861 0.139 0.922

Values from the calculation:
Calculated volume: 37.9 Å³/atom
ΔH_f (0 K): -4.83 kcal/mol of atoms
Space group: Cmcm
DOS(E_F): 14.16 states/eV/cell

10.
Entry from Alexandria: Tm4PtPb after structural relaxation (PBE-GGA).

Unit cell a=8.026 b=8.026 c=6.143 alpha=103.66 beta=103.66 gamma=112.10
Sites, in units of the cell vectors:
Tm: 0.059 0.716 0.926
Tm: 0.210 0.355 0.668
Tm: 0.284 0.941 0.574
Tm: 0.355 0.210 0.168
Tm: 0.645 0.790 0.832
Tm: 0.716 0.059 0.426
Tm: 0.790 0.645 0.332
Tm: 0.941 0.284 0.074
Pt: 0.001 0.999 0.250
Pt: 0.999 0.001 0.750
Pb: 0.371 0.629 0.250
Pb: 0.629 0.371 0.750

Values from the calculation:
Calculated volume: 27.7 Å³/atom
ΔH_f (0 K): -14.04 kcal/mol of atoms
Space group: C2/c
DOS(E_F): 12.88 states/eV/cell

11.
Entry from Alexandria: Tm4PtPb after structural relaxation (PBE-GGA).

Unit cell a=5.608 b=6.827 c=8.548 alpha=90.00 beta=101.91 gamma=90.00
Sites, in units of the cell vectors:
Tm: 0.153 0.250 0.062
Tm: 0.218 0.750 0.358
Tm: 0.322 0.506 0.770
Tm: 0.322 0.994 0.770
Tm: 0.678 0.006 0.230
Tm: 0.678 0.494 0.230
Tm: 0.782 0.250 0.642
Tm: 0.847 0.750 0.938
Pt: 0.339 0.750 0.050
Pt: 0.661 0.250 0.950
Pb: 0.221 0.250 0.431
Pb: 0.779 0.750 0.569

Values from the calculation:
Calculated volume: 26.7 Å³/atom
ΔH_f (0 K): -14.94 kcal/mol of atoms
Space group: P2_1/m
DOS(E_F): 10.25 states/eV/cell

12.
Entry from Alexandria: YTmPtPb after structural relaxation (PBE-GGA).

Unit cell a=5.162 b=5.162 c=5.162 alpha=60.00 beta=60.00 gamma=60.00
Sites, in units of the cell vectors:
Y: 0.000 0.000 0.000
Tm: 0.500 0.500 0.500
Pt: 0.750 0.750 0.750
Pb: 0.250 0.250 0.250

Values from the calculation:
Calculated volume: 24.3 Å³/atom
ΔH_f (0 K): -17.26 kcal/mol of atoms
Space group: F-43m
DOS(E_F): 1.25 states/eV/cell